Record 1
Zn2Ni2Pt | GGA-PBE | optimized geometry

Lattice parameters (Å, degrees): 4.5292 4.5292 5.8501 129.51 129.51 49.31
Element x y z (fractional)
Zn: 0.0887 0.0887 0.2877
Zn: 0.9113 0.9113 0.7123
Ni: 0.3047 0.3047 0.9045
Ni: 0.6953 0.6953 0.0955
Pt: 0.5000 0.5000 0.5000

For the energy relative to the elements, the calculation gives -262 meV/atom. The final energy comes out at -4.292 eV/atom. Its polymorph energy (0 for the lowest one) is 0.0000 eV/atom.

Record 2
Zn2NiPt | GGA-PBE | optimized geometry

Lattice parameters (Å, degrees): 2.8181 3.4340 5.5644 90.00 90.10 90.00
Element x y z (fractional)
Zn: 0.0006 0.0000 0.2650
Zn: 0.9994 0.0000 0.7350
Ni: 0.5000 0.5000 0.5000
Pt: 0.5000 0.5000 0.0000

For the energy relative to the elements, the calculation gives -402 meV/atom. The final energy comes out at -3.995 eV/atom.

Record 3
ZnNi2Pt | GGA-PBE | optimized geometry

Lattice parameters (Å, degrees): 8.4439 8.4439 8.4439 18.30 18.30 18.30
Element x y z (fractional)
Zn: 0.0000 0.0000 0.0000
Ni: 0.2530 0.2530 0.2530
Ni: 0.7470 0.7470 0.7470
Pt: 0.5000 0.5000 0.5000

For the energy relative to the elements, the calculation gives -112 meV/atom. The final energy comes out at -4.831 eV/atom.

Record 4
ZnNi2Pt | GGA-PBE | optimized geometry

Lattice parameters (Å, degrees): 4.5233 4.5233 4.4674 100.94 100.94 34.91
Element x y z (fractional)
Zn: 0.0000 0.0000 0.0000
Ni: 0.2523 0.2523 0.7583
Ni: 0.5068 0.5068 0.5226
Pt: 0.7545 0.7545 0.2671

For the energy relative to the elements, the calculation gives -214 meV/atom. The final energy comes out at -4.934 eV/atom.

Record 5
Zn2Ni2Pt | GGA-PBE | optimized geometry

Lattice parameters (Å, degrees): 6.8783 6.8783 2.7556 90.00 90.00 90.00
Element x y z (fractional)
Zn: 0.1338 0.3662 0.0000
Zn: 0.3662 0.8662 0.0000
Zn: 0.6338 0.1338 0.0000
Zn: 0.8662 0.6338 0.0000
Ni: 0.1638 0.6638 0.5000
Ni: 0.3362 0.1638 0.5000
Ni: 0.6638 0.8362 0.5000
Ni: 0.8362 0.3362 0.5000
Pt: 0.0000 0.0000 0.0000
Pt: 0.5000 0.5000 0.0000

For the energy relative to the elements, the calculation gives -160 meV/atom. The final energy comes out at -4.190 eV/atom. Its polymorph energy (0 for the lowest one) is 0.1021 eV/atom.

Record 6
Zn6NiPt2 | GGA-PBE | optimized geometry

Lattice parameters (Å, degrees): 5.5160 5.5160 9.0672 90.00 90.00 90.00
Element x y z (fractional)
Zn: 0.0000 0.0000 0.2358
Zn: 0.0000 0.0000 0.7642
Zn: 0.1273 0.2993 0.0000
Zn: 0.2007 0.3727 0.5000
Zn: 0.2993 0.8727 0.0000
Zn: 0.3727 0.7993 0.5000
Zn: 0.5000 0.5000 0.2642
Zn: 0.5000 0.5000 0.7358
Zn: 0.6273 0.2007 0.5000
Zn: 0.7007 0.1273 0.0000
Zn: 0.7993 0.6273 0.5000
Zn: 0.8727 0.7007 0.0000
Ni: 0.0000 0.0000 0.5000
Ni: 0.5000 0.5000 0.0000
Pt: 0.0000 0.5000 0.2500
Pt: 0.0000 0.5000 0.7500
Pt: 0.5000 0.0000 0.2500
Pt: 0.5000 0.0000 0.7500

For the energy relative to the elements, the calculation gives -51 meV/atom. The final energy comes out at -2.885 eV/atom. Its polymorph energy (0 for the lowest one) is 0.1768 eV/atom.